A plane-wave DFT calculation with PBE with a Hubbard U was carried out for a relaxed Cs3Mo4P3O16 crystal.

Computed properties:
uncorrected energy	-6.773	eV per atom
V	486.7	Å³ per cell
total magnetization	0.077	μB/atom

Unit cell a=7.8658 b=7.8658 c=7.8658 alpha=90.00 beta=90.00 gamma=90.00
With the nearest neighbours (Å) after each atom.
Space group P-43m (No. 215)
One atom of each set of equivalent atoms:
1 Cs 0.0000 0.0000 0.5000 (multiplicity 3)  8 O 3.27
2 Mo 0.3819 0.3819 0.3819 (multiplicity 4)  6 O 2.07-2.13
3 P 0.0000 0.5000 0.5000 (multiplicity 3)  4 O 1.56
4 O 0.1108 0.3835 0.3835 (multiplicity 12)  1 P 1.56
5 O 0.3570 0.3570 0.6430 (multiplicity 4)  3 Mo 2.07